This record from Alexandria via LeMat-Bulk describes a geometry-optimized Sm7Tl5Cd structure. The functional is PBE.

abc: 6.7691 8.3861 8.3861
angles: 79.96 66.20 66.20
Closest atoms and distances in Å follow each position.
Positions (direct):
Sm 0.6166 0.3834 0.3834  4 Tl 3.43, 4 Sm 3.65-3.83, 1 Cd 3.65
Sm 0.2564 0.7436 0.7436  6 Tl 3.34-3.39, 1 Cd 3.34
Sm 0.0081 0.3087 0.6751  5 Tl 3.24-3.35, 1 Cd 3.47, 1 Sm 3.57
Sm 0.0081 0.6751 0.3087  5 Tl 3.24-3.35, 1 Cd 3.47, 1 Sm 3.57
Sm 0.2804 0.2196 0.2196  4 Tl 3.09, 2 Sm 3.27
Sm 0.5256 0.7999 0.1488  5 Tl 3.23-3.41, 1 Sm 3.27
Sm 0.5256 0.1488 0.7999  5 Tl 3.23-3.41, 1 Sm 3.27
Tl 0.5223 0.9993 0.4721  7 Sm 3.09-3.43, 2 Tl 3.28
Tl 0.0064 0.9993 0.4721  7 Sm 3.09-3.43, 2 Tl 3.28
Tl 0.5223 0.4721 0.9993  7 Sm 3.09-3.43, 2 Tl 3.28
Tl 0.0064 0.4721 0.9993  7 Sm 3.09-3.43, 2 Tl 3.28
Tl 0.7708 0.7292 0.7292  6 Sm 3.26-3.39, 4 Tl 3.28
Cd 0.9509 0.0491 0.0491  4 Sm 3.34-3.65, 4 Tl 3.65

Summary:
- total moment (μB/f.u.) = 0.0
- calculated formation energy (eV/atom) = -0.171
- DOS at the Fermi energy (states/eV/cell) = 12.83